1.
Ta2ZnRh GGA-PBE relaxed; theoretical density = 13.5 g/cm3; formation enthalpy at 0 K = -0.210 eV per atom
1.0
-2.9563 -0.8951 -0.8644
-0.6463 -0.7995 3.0382
-2.1003 5.8753 1.0992
Ta Rh Zn
2 1 1
Cartesian
-2.0498 5.7341 1.0728
-2.3571 0.7075 1.3778
-3.3659 3.5295 1.9058
-1.0805 3.0226 0.5655

***

2.
TaZnRh2 GGA-PBE relaxed; theoretical density = 12.3 g/cm3; formation enthalpy at 0 K = -0.306 eV per atom
1.0
2.8594 0.0003 -0.0035
1.4299 2.4762 -0.0035
1.4191 0.8193 8.6213
Rh Zn Ta
2 1 1
Cartesian
1.4210 0.8204 6.4244
1.4278 0.8243 2.1941
2.8538 1.6476 4.3049
2.8601 1.6513 -0.0020

***

3.
Ta2ZnRh GGA-PBE relaxed; theoretical density = 13.7 g/cm3; formation enthalpy at 0 K = -0.175 eV per atom
1.0
5.1176 -0.1236 -0.0952
2.2522 4.5971 0.0952
-3.3416 -2.8023 2.6824
Ta Rh Zn
2 1 1
Cartesian
3.6209 2.1979 0.0000
0.0640 0.0388 0.0000
1.2977 2.0158 1.3888
2.7305 -0.3446 1.2936

***

4.
Ta2ZnRh9 GGA-PBE relaxed; theoretical density = 12.8 g/cm3; formation enthalpy at 0 K = -0.450 eV per atom
1.0
3.8884 0.0000 0.0000
0.0000 3.8884 0.0000
0.0000 0.0000 11.6089
Rh Zn Ta
9 1 2
Cartesian
1.9442 1.9442 0.0000
0.0000 1.9442 9.6733
1.9442 1.9442 3.8753
1.9442 1.9442 7.7336
0.0000 1.9442 1.9357
1.9442 0.0000 9.6733
1.9442 0.0000 5.8045
1.9442 0.0000 1.9357
0.0000 1.9442 5.8045
0.0000 0.0000 0.0000
0.0000 0.0000 7.8001
0.0000 0.0000 3.8088

***

5.
Ta2ZnRh GGA-PBE relaxed; theoretical density = 13.5 g/cm3; formation enthalpy at 0 K = -0.145 eV per atom
1.0
-1.7943 -4.6434 -0.4050
-0.5151 -4.4352 2.2381
-4.3638 0.1011 2.1041
Zn Rh Ta
1 1 2
Cartesian
-3.3151 -4.5679 1.9644
-1.7192 -2.2631 1.0104
-4.9852 -6.7112 2.9416
-2.2996 -9.0026 1.8223

***

6.
Ta2ZnRh GGA-PBE relaxed; theoretical density = 13.6 g/cm3; formation enthalpy at 0 K = -0.106 eV per atom
1.0
-3.5040 -3.8227 0.1196
-1.3909 -1.7827 4.6683
0.4549 4.6324 -2.2889
Ta Rh Zn
2 1 1
Cartesian
0.0000 0.0000 0.0000
-1.6917 0.0235 2.3866
-2.7483 -0.9965 0.1123
-2.4474 -2.8027 2.3939

***

7.
Ta2ZnRh GGA-PBE relaxed; theoretical density = 13.7 g/cm3; formation enthalpy at 0 K = -0.199 eV per atom
1.0
2.8706 0.0098 0.0000
-0.0087 2.8706 0.0000
0.0000 0.0000 7.8142
Ta Zn Rh
2 1 1
Cartesian
0.0000 0.0000 7.7707
0.0000 0.0000 3.9506
1.4310 1.4402 1.9536
1.4310 1.4402 5.8607

***

8.
Ta2ZnRh2 GGA-PBE relaxed; theoretical density = 12.6 g/cm3; formation enthalpy at 0 K = -0.289 eV per atom
1.0
7.5368 0.0000 0.0000
0.0000 7.5368 0.0000
0.0000 0.0000 2.9438
Rh Ta Zn
4 4 2
Cartesian
4.7511 0.9827 0.0000
2.7857 6.5541 0.0000
6.5541 4.7511 0.0000
0.9827 2.7857 0.0000
6.2828 2.5144 1.4719
1.2540 5.0224 1.4719
2.5144 1.2540 1.4719
5.0224 6.2828 1.4719
0.0000 0.0000 0.0000
3.7684 3.7684 0.0000

***

9.
Ta2ZnRh3 GGA-PBE relaxed; theoretical density = 13.2 g/cm3; formation enthalpy at 0 K = -0.467 eV per atom
1.0
4.4157 0.0061 -0.0132
-2.2025 3.8142 -0.0006
-0.0252 -0.0162 10.9550
Rh Ta Zn
6 4 2
Cartesian
2.1991 1.2687 6.3845
-0.0010 2.5416 9.7479
2.1969 3.8101 2.8121
-0.0111 2.5355 4.5567
-0.0089 -0.0059 8.1291
2.1890 1.2626 1.1933
-0.0126 -0.0081 5.4775
2.2030 1.2709 9.2124
0.0000 0.0000 0.0000
-0.0150 2.5332 1.7288
2.1940 1.2656 3.7596
-0.0060 2.5386 7.1816

***

10.
TaZn3Rh4 GGA-PBE relaxed; theoretical density = 11.4 g/cm3; formation enthalpy at 0 K = -0.571 eV per atom
1.0
4.3248 0.0000 0.0000
0.0000 6.1318 0.0000
0.0000 0.0000 8.6479
Zn Ta Rh
6 2 8
Cartesian
2.1616 3.0659 6.4859
2.1632 3.0659 2.1620
0.0000 0.0000 4.3239
2.1632 0.0000 2.1620
2.1616 0.0000 6.4859
0.0000 0.0000 0.0000
0.0000 3.0659 0.0000
0.0000 3.0659 4.3239
4.3240 1.5196 6.4859
4.3240 4.6121 6.4859
2.1624 1.5196 4.3239
0.0008 4.6121 2.1620
0.0008 1.5196 2.1620
2.1624 4.6122 0.0000
2.1624 1.5196 0.0000
2.1624 4.6122 4.3239